No. 1
Below is K2TaCuO after structural relaxation, with properties calculated at the PBE level.

Computed properties:
- ΔE_f (raw) (kJ per mole of atoms) = 58.6
- VASP energy (eV per cell) = -20.1
- V (Å³ per cell) = 137.6

a = 6.251 Å, b = 6.251 Å, c = 3.521 Å
α = 90.00°, β = 90.00°, γ = 90.00°
Fractional positions:
K: 0.000 0.500 0.000
K: 0.500 0.000 0.000
Ta: 0.000 0.000 0.500
Cu: 0.500 0.500 0.500
O: 0.500 0.500 0.000


No. 2
Below is KTa3CuO9 after structural relaxation, with properties calculated at the PBE level.

Computed properties:
- ΔE_f (raw) (kJ per mole of atoms) = -237.2
- VASP energy (eV per cell) = -479.2
- V (Å³ per cell) = 707.6

a = 7.715 Å, b = 8.953 Å, c = 10.245 Å
α = 90.00°, β = 90.00°, γ = 90.00°
Fractional positions:
K: 0.000 0.084 0.241
K: 0.000 0.916 0.759
K: 0.500 0.084 0.259
K: 0.500 0.916 0.741
Ta: 0.245 0.201 0.562
Ta: 0.245 0.799 0.438
Ta: 0.250 0.430 0.250
Ta: 0.250 0.570 0.750
Ta: 0.255 0.201 0.938
Ta: 0.255 0.799 0.062
Ta: 0.745 0.201 0.938
Ta: 0.745 0.799 0.062
Ta: 0.750 0.430 0.250
Ta: 0.750 0.570 0.750
Ta: 0.755 0.201 0.562
Ta: 0.755 0.799 0.438
Cu: 0.000 0.500 0.000
Cu: 0.000 0.500 0.500
Cu: 0.500 0.500 0.000
Cu: 0.500 0.500 0.500
O: 0.000 0.150 0.559
O: 0.000 0.273 0.947
O: 0.000 0.443 0.187
O: 0.000 0.557 0.813
O: 0.000 0.727 0.053
O: 0.000 0.850 0.441
O: 0.183 0.416 0.615
O: 0.183 0.584 0.385
O: 0.190 0.000 0.000
O: 0.214 0.275 0.379
O: 0.214 0.725 0.621
O: 0.250 0.148 0.750
O: 0.250 0.852 0.250
O: 0.286 0.275 0.121
O: 0.286 0.725 0.879
O: 0.310 0.000 0.500
O: 0.317 0.416 0.885
O: 0.317 0.584 0.115
O: 0.500 0.150 0.941
O: 0.500 0.273 0.553
O: 0.500 0.443 0.313
O: 0.500 0.557 0.687
O: 0.500 0.727 0.447
O: 0.500 0.850 0.059
O: 0.683 0.416 0.885
O: 0.683 0.584 0.115
O: 0.690 0.000 0.500
O: 0.714 0.275 0.121
O: 0.714 0.725 0.879
O: 0.750 0.148 0.750
O: 0.750 0.852 0.250
O: 0.786 0.275 0.379
O: 0.786 0.725 0.621
O: 0.810 0.000 0.000
O: 0.817 0.416 0.615
O: 0.817 0.584 0.385


No. 3
Below is K2TaCuO4 after structural relaxation, with properties calculated at the PBE level.

Computed properties:
- ΔE_f (raw) (kJ per mole of atoms) = -184.5
- VASP energy (eV per cell) = -106.6
- V (Å³ per cell) = 275.4

a = 6.020 Å, b = 6.020 Å, c = 7.600 Å
α = 90.00°, β = 90.00°, γ = 90.00°
Fractional positions:
K: 0.000 0.000 0.000
K: 0.000 0.500 0.250
K: 0.500 0.000 0.750
K: 0.500 0.500 0.500
Ta: 0.000 0.500 0.750
Ta: 0.500 0.000 0.250
Cu: 0.000 0.000 0.500
Cu: 0.500 0.500 0.000
O: 0.143 0.286 0.610
O: 0.214 0.643 0.890
O: 0.286 0.857 0.390
O: 0.357 0.214 0.110
O: 0.643 0.786 0.110
O: 0.714 0.143 0.390
O: 0.786 0.357 0.890
O: 0.857 0.714 0.610


Q: What is the ΔE_f (raw) in the second record?
A: -237.2 kJ per mole of atoms


Q: Which formula does entry 3 have?
A: K2TaCuO4